Record 1
# Hf3ScRh6, relaxed, DFT PBE
# - D(E_F): 0.507 states/eV per atom
# - Energy relative to the elements: -842 kJ/mol of formula units
# - V: 16.6 Å³/atom
data_Hf3ScRh6
_cell_length_a 7.767
_cell_length_b 4.602
_cell_length_c 9.841
_cell_angle_alpha 90.00
_cell_angle_beta 109.42
_cell_angle_gamma 90.00
_space_group_name_H-M_alt 'P 1 21/m 1'
_space_group_IT_number 11
loop_
_space_group_symop_operation_xyz
'x,y,z'
'-x,-y,-z'
'-x,y+1/2,-z'
'x,-y+1/2,z'
loop_
_atom_site_label
_atom_site_type_symbol
_atom_site_fract_x
_atom_site_fract_y
_atom_site_fract_z
_atom_site_occupancy
Hf1 Hf 0.021 0.250 0.382 1
Hf2 Hf 0.133 0.750 0.198 1
Hf3 Hf 0.301 0.250 0.990 1
Sc1 Sc 0.444 0.250 0.593 1
Rh1 Rh 0.048 0.750 0.911 1
Rh2 Rh 0.157 0.250 0.684 1
Rh3 Rh 0.245 0.750 0.495 1
Rh4 Rh 0.340 0.250 0.296 1
Rh5 Rh 0.353 0.750 0.817 1
Rh6 Rh 0.426 0.750 0.128 1

Record 2
# HfScRh, relaxed, DFT PBE
# - D(E_F): 0.971 states/eV per atom
# - Energy above the most stable polymorph in this dataset: 127.3 meV per atom
# - Energy relative to the elements: -144 kJ/mol of formula units
# - V: 21.8 Å³/atom
data_HfScRh
_cell_length_a 4.5067
_cell_length_b 4.5067
_cell_length_c 22.2588
_cell_angle_alpha 90.00
_cell_angle_beta 90.00
_cell_angle_gamma 120.00
_space_group_name_H-M_alt 'R -3 m'
_space_group_IT_number 166
_space_group_name_Hall '-R 3 2"'
loop_
_atom_site_label
_atom_site_type_symbol
_atom_site_fract_x
_atom_site_fract_y
_atom_site_fract_z
_atom_site_occupancy
Hf1 Hf 0.0000 0.0000 0.1243 1
Sc1 Sc 0.0000 0.0000 0.3741 1
Rh1 Rh 0.0000 0.0000 0.2454 1

Record 3
# Sr2HfScRh, relaxed, DFT PBE
# - D(E_F): 1.395 states/eV per atom
# - Energy relative to the elements: 381 kJ/mol of formula units
# - V: 35.9 Å³/atom
data_Sr2HfScRh
_cell_length_a 6.191
_cell_length_b 6.191
_cell_length_c 4.687
_cell_angle_alpha 90.00
_cell_angle_beta 90.00
_cell_angle_gamma 90.00
_space_group_name_H-M_alt 'P 4/m m m'
_space_group_IT_number 123
_space_group_name_Hall '-P 4 2'
loop_
_atom_site_label
_atom_site_type_symbol
_atom_site_fract_x
_atom_site_fract_y
_atom_site_fract_z
_atom_site_occupancy
Sr1 Sr 0.000 0.500 0.000 1
Hf1 Hf 0.000 0.000 0.000 1
Sc1 Sc 0.500 0.500 0.500 1
Rh1 Rh 0.000 0.000 0.500 1

Record 4
# HfSc2TcRh, relaxed, DFT PBE
# - D(E_F): 1.440 states/eV per atom
# - Energy relative to the elements: 604 kJ/mol of formula units
# - V: 23.8 Å³/atom
data_HfSc2TcRh
_cell_length_a 5.069
_cell_length_b 5.069
_cell_length_c 4.627
_cell_angle_alpha 90.00
_cell_angle_beta 90.00
_cell_angle_gamma 90.00
_space_group_name_H-M_alt 'P 4/m m m'
_space_group_IT_number 123
_space_group_name_Hall '-P 4 2'
loop_
_atom_site_label
_atom_site_type_symbol
_atom_site_fract_x
_atom_site_fract_y
_atom_site_fract_z
_atom_site_occupancy
Hf1 Hf 0.000 0.000 0.000 1
Sc1 Sc 0.000 0.500 0.000 1
Tc1 Tc 0.500 0.500 0.500 1
Rh1 Rh 0.000 0.000 0.500 1

Record 5
# Hf2ScTi2Rh5, relaxed, DFT PBE
# - D(E_F): 0.775 states/eV per atom
# - Energy relative to the elements: -626 kJ/mol of formula units
# - V: 16.9 Å³/atom
data_Hf2ScTi2Rh5
_cell_length_a 9.584
_cell_length_b 9.584
_cell_length_c 3.674
_cell_angle_alpha 90.00
_cell_angle_beta 90.00
_cell_angle_gamma 90.00
_space_group_name_H-M_alt 'P 4/m b m'
_space_group_IT_number 127
_space_group_name_Hall '-P 4 2ab'
loop_
_atom_site_label
_atom_site_type_symbol
_atom_site_fract_x
_atom_site_fract_y
_atom_site_fract_z
_atom_site_occupancy
Hf1 Hf 0.175 0.325 0.000 1
Sc1 Sc 0.000 0.000 0.000 1
Ti1 Ti 0.123 0.623 0.000 1
Rh1 Rh 0.000 0.500 0.500 1
Rh2 Rh 0.068 0.793 0.500 1

Record 6
# Hf2ScTlRh, relaxed, DFT PBE
# - D(E_F): 1.472 states/eV per atom
# - Energy relative to the elements: 136 kJ/mol of formula units
# - V: 25.3 Å³/atom
data_Hf2ScTlRh
_cell_length_a 4.947
_cell_length_b 4.947
_cell_length_c 5.179
_cell_angle_alpha 90.00
_cell_angle_beta 90.00
_cell_angle_gamma 90.00
_space_group_name_H-M_alt 'P 4/m m m'
_space_group_IT_number 123
_space_group_name_Hall '-P 4 2'
loop_
_atom_site_label
_atom_site_type_symbol
_atom_site_fract_x
_atom_site_fract_y
_atom_site_fract_z
_atom_site_occupancy
Hf1 Hf 0.000 0.500 0.000 1
Sc1 Sc 0.000 0.000 0.500 1
Tl1 Tl 0.500 0.500 0.500 1
Rh1 Rh 0.500 0.500 0.000 1

Record 7
# HfScZnRh, relaxed, DFT PBE
# - D(E_F): 0.713 states/eV per atom
# - Energy relative to the elements: -240 kJ/mol of formula units
# - V: 17.9 Å³/atom
data_HfScZnRh
_cell_length_a 3.301
_cell_length_b 3.301
_cell_length_c 6.556
_cell_angle_alpha 90.00
_cell_angle_beta 90.00
_cell_angle_gamma 90.00
_space_group_name_H-M_alt 'P 4 m m'
_space_group_IT_number 99
loop_
_space_group_symop_operation_xyz
'x,y,z'
'-y,x,z'
'-x,-y,z'
'y,-x,z'
'-x,y,z'
'y,x,z'
'x,-y,z'
'-y,-x,z'
loop_
_atom_site_label
_atom_site_type_symbol
_atom_site_fract_x
_atom_site_fract_y
_atom_site_fract_z
_atom_site_occupancy
Hf1 Hf 0.000 0.000 0.000 1
Sc1 Sc 0.000 0.000 0.486 1
Zn1 Zn 0.500 0.500 0.743 1
Rh1 Rh 0.500 0.500 0.229 1

Record 8
# HfZrScRh, relaxed, DFT PBE
# - D(E_F): 1.279 states/eV per atom
# - Energy relative to the elements: -186 kJ/mol of formula units
# - V: 20.2 Å³/atom
data_HfZrScRh
_cell_length_a 3.287
_cell_length_b 3.287
_cell_length_c 7.480
_cell_angle_alpha 90.00
_cell_angle_beta 90.00
_cell_angle_gamma 90.00
_space_group_name_H-M_alt 'P 4 m m'
_space_group_IT_number 99
loop_
_space_group_symop_operation_xyz
'x,y,z'
'-y,x,z'
'-x,-y,z'
'y,-x,z'
'-x,y,z'
'y,x,z'
'x,-y,z'
'-y,-x,z'
loop_
_atom_site_label
_atom_site_type_symbol
_atom_site_fract_x
_atom_site_fract_y
_atom_site_fract_z
_atom_site_occupancy
Hf1 Hf 0.000 0.000 0.000 1
Zr1 Zr 0.500 0.500 0.725 1
Sc1 Sc 0.000 0.000 0.426 1
Rh1 Rh 0.500 0.500 0.208 1

Record 9
# HfRh2Se, relaxed, DFT PBE
# - D(E_F): 0.472 states/eV per atom
# - Formation energy from raw total energies: -0.151 eV/atom
# - V: 22.5 Å³/atom
data_HfRh2Se
_cell_length_a 5.318
_cell_length_b 5.318
_cell_length_c 12.751
_cell_angle_alpha 90.00
_cell_angle_beta 90.00
_cell_angle_gamma 90.00
_space_group_name_H-M_alt 'I -4 2 d'
_space_group_IT_number 122
_space_group_name_Hall 'I -4 2bw'
loop_
_atom_site_label
_atom_site_type_symbol
_atom_site_fract_x
_atom_site_fract_y
_atom_site_fract_z
_atom_site_occupancy
Hf1 Hf 0.000 0.000 0.000 1
Rh1 Rh 0.216 0.250 0.625 1
Se1 Se 0.000 0.000 0.500 1

Record 10
# Hf2Rh2Se, relaxed, DFT PBE
# - D(E_F): 0.335 states/eV per atom
# - Formation energy from raw total energies: -0.711 eV/atom
# - V: 18.3 Å³/atom
data_Hf2Rh2Se
_cell_length_a 7.414
_cell_length_b 7.414
_cell_length_c 3.324
_cell_angle_alpha 90.00
_cell_angle_beta 90.00
_cell_angle_gamma 90.00
_space_group_name_H-M_alt 'P 4/m b m'
_space_group_IT_number 127
_space_group_name_Hall '-P 4 2ab'
loop_
_atom_site_label
_atom_site_type_symbol
_atom_site_fract_x
_atom_site_fract_y
_atom_site_fract_z
_atom_site_occupancy
Hf1 Hf 0.163 0.337 0.000 1
Rh1 Rh 0.132 0.632 0.500 1
Se1 Se 0.000 0.000 0.500 1

Record 11
# HfRhSe, relaxed, DFT PBE
# - D(E_F): 0.633 states/eV per atom
# - Formation energy from raw total energies: -0.504 eV/atom
# - V: 21.5 Å³/atom
data_HfRhSe
_cell_length_a 7.786
_cell_length_b 7.786
_cell_length_c 4.261
_cell_angle_alpha 90.00
_cell_angle_beta 90.00
_cell_angle_gamma 90.00
_space_group_name_H-M_alt 'P 42/m'
_space_group_IT_number 84
loop_
_space_group_symop_operation_xyz
'x,y,z'
'-x,-y,-z'
'-y,x,z+1/2'
'y,-x,-z+1/2'
'-x,-y,z'
'x,y,-z'
'y,-x,z+1/2'
'-y,x,-z+1/2'
loop_
_atom_site_label
_atom_site_type_symbol
_atom_site_fract_x
_atom_site_fract_y
_atom_site_fract_z
_atom_site_occupancy
Hf1 Hf 0.123 0.710 0.000 1
Rh1 Rh 0.194 0.331 0.000 1
Se1 Se 0.214 0.497 0.500 1

Record 12
# HfRhSe2, relaxed, DFT PBE
# - D(E_F): 0.805 states/eV per atom
# - Energy above the most stable polymorph in this dataset: 28.0 meV per atom
# - Formation energy from raw total energies: -0.505 eV/atom
# - V: 21.2 Å³/atom
data_HfRhSe2
_cell_length_a 4.693
_cell_length_b 4.693
_cell_length_c 15.385
_cell_angle_alpha 90.00
_cell_angle_beta 90.00
_cell_angle_gamma 90.00
_space_group_name_H-M_alt 'I -4 2 d'
_space_group_IT_number 122
_space_group_name_Hall 'I -4 2bw'
loop_
_atom_site_label
_atom_site_type_symbol
_atom_site_fract_x
_atom_site_fract_y
_atom_site_fract_z
_atom_site_occupancy
Hf1 Hf 0.000 0.000 0.000 1
Rh1 Rh 0.000 0.000 0.500 1
Se1 Se 0.229 0.250 0.625 1

no.,E (eV/cell)
1,-178.05
2,-150.77
3,-23.05
4,-34.07
5,-170.54
6,-34.55
7,-27.40
8,-34.11
9,-114.98
10,-83.30
11,-89.21
12,-105.18